# GGA-PBE ZnHgMo2, relaxed
data_ZnHgMo2
_cell_length_a 2.8806
_cell_length_b 2.8806
_cell_length_c 28.1242
_cell_angle_alpha 90.00
_cell_angle_beta 90.00
_cell_angle_gamma 120.00
_symmetry_space_group_name_H-M 'R -3 m'
_symmetry_Int_Tables_number 166
_symmetry_space_group_name_Hall '-R 3 2"'
loop_
_atom_site_label
_atom_site_type_symbol
_atom_site_fract_x
_atom_site_fract_y
_atom_site_fract_z
Zn1 Zn 0.0000 0.0000 0.0000
Hg1 Hg 0.0000 0.0000 0.5000
Mo1 Mo 0.0000 0.0000 0.2542
# M_tot   0.0 μB/f.u.
# Density of states at the Fermi level   0.81 states/eV/atom
# ΔE_f   0.50 eV/atom
# VASP energy   -5.306 eV/atom